Entry 1:
This record from the Alexandria database describes a geometry-optimized HoTh3 structure. The functional is PBE.

The value obtained for the energy above the most stable polymorph in this dataset is 16 meV/atom. For the formation energy, the calculation gives 5.4 kJ per mole of atoms. Its total energy is -6.653 eV per atom.

The space group is Pm-3m (No. 221) and the conventional cell measures 5.0435, 5.0435 and 5.0435 Å, with angles of 90.00, 90.00 and 90.00 degrees. The distinct sites, in fractional coordinates, are Ho at (0.0000, 0.0000, 0.0000) and Th at (0.0000, 0.5000, 0.5000).



Entry 2:
This record from the Alexandria database describes a geometry-optimized In2IrPt structure. The functional is PBE.

The value obtained for the energy above the most stable polymorph in this dataset is 10 meV/atom. For the formation energy, the calculation gives -20.5 kJ per mole of atoms. Its total energy is -5.307 eV per atom.

The space group is I4/mmm (No. 139) and the conventional cell measures 4.3041, 4.3041 and 7.5919 Å, with angles of 90.00, 90.00 and 90.00 degrees. The distinct sites, in fractional coordinates, are In at (0.0000, 0.5000, 0.2500), Ir at (0.0000, 0.0000, 0.0000) and Pt at (0.0000, 0.0000, 0.5000).



Entry 3:
This record from the Alexandria database describes a geometry-optimized BaTm2ReO8 structure. The functional is PBE.

Its formation energy (no corrections) is -2.475 eV/atom. Its total energy is -7.723 eV per atom.

The space group is P-1 (No. 2) and the conventional cell measures 4.8145, 5.0341 and 7.2801 Å, with angles of 90.04, 90.15 and 90.31 degrees. The distinct sites, in fractional coordinates, are Ba at (0.0000, 0.0000, 0.0000), Tm at (0.4994, 0.4998, 0.7333), Re at (0.0000, 0.0000, 0.5000), O at (0.2176, 0.8406, 0.3161), O at (0.2195, 0.8428, 0.6846), O at (0.2532, 0.3022, 0.4992) and O at (0.2704, 0.4642, 0.9999).



Entry 4:
This record from the Alexandria database describes a geometry-optimized Ac2Sm3Y5 structure. The functional is PBE.

For the formation energy, the calculation gives 20.1 kJ per mole of atoms. Its total energy is -5.262 eV per atom.

The space group is C2/c (No. 15) and the conventional cell measures 10.0707, 15.2539 and 10.0727 Å, with angles of 90.00, 109.34 and 90.00 degrees. The distinct sites, in fractional coordinates, are Ac at (0.2463, 0.1067, 0.4990), Sm at (0.0000, 0.2531, 0.2500), Sm at (0.1554, 0.3770, 0.0942), Y at (0.0000, 0.0337, 0.7500), Y at (0.0000, 0.2507, 0.7500), Y at (0.0000, 0.4679, 0.7500) and Y at (0.1559, 0.1231, 0.0948).



Entry 5:
This record from the Alexandria database describes a geometry-optimized Ba2FeSi structure. The functional is PBE.

Its formation energy (no corrections) is 0.235 eV/atom. Its total energy is -4.198 eV per atom.

The space group is P4mm (No. 99) and the conventional cell measures 3.5071, 3.5071 and 9.5924 Å, with angles of 90.00, 90.00 and 90.00 degrees. The distinct sites, in fractional coordinates, are Ba at (0.0000, 0.0000, 0.0000), Ba at (0.5000, 0.5000, 0.4280), Fe at (0.0000, 0.0000, 0.6908) and Si at (0.5000, 0.5000, 0.7554).



Entry 6:
This record from the Alexandria database describes a geometry-optimized LiMg6Sn structure. The functional is PBE.

The value obtained for the energy above the most stable polymorph in this dataset is 4 meV/atom. For the formation energy, the calculation gives -7.3 kJ per mole of atoms. Its total energy is -2.012 eV per atom.

The space group is Amm2 (No. 38) and the conventional cell measures 5.0515, 6.3902 and 11.0393 Å, with angles of 90.00, 90.00 and 90.00 degrees. The distinct sites, in fractional coordinates, are Li at (0.0000, 0.0000, 0.0000), Mg at (0.0000, 0.0000, 0.5020), Mg at (0.0000, 0.2469, 0.2485), Mg at (0.5000, 0.0000, 0.3357), Mg at (0.5000, 0.2485, 0.0826) and Sn at (0.5000, 0.0000, 0.8380).



Look up the total energy of the first one.
-6.653 eV per atom